(1)
! NaBRh2 | Alexandria | PBE | optimized geometry; values from VASP
&SYSTEM
  ibrav = 0, nat = 8, ntyp = 3
/
ATOMIC_SPECIES
Rh 102.91 Rh.upf
Na 22.99 Na.upf
B 10.81 B.upf
ATOMIC_POSITIONS crystal
Rh 0.3750 0.4686 0.7500
Na 0.7500 0.2500 0.5000
Rh 0.2186 0.6250 0.2500
Rh 0.8750 0.7814 0.7500
Na 0.0000 0.0000 0.0000
B 0.2500 0.7500 0.5000
Rh 0.5314 0.1250 0.2500
B 0.5000 0.5000 0.0000
CELL_PARAMETERS angstrom
-1.5542 4.2181 -4.8584
-4.6202 -4.2102 -2.1773
-4.8424 1.1329 -1.9763
! Crystal system: tetragonal
! SG: I-42d, No. 122
! Size of the total moment in Bohr magnetons per cell: 0.00
! Mass density in g/cm3: 7.00
! Energy of formation in meV/atom: 71


(2)
! NaB2Rh2 | Alexandria | PBE | optimized geometry; values from VASP
&SYSTEM
  ibrav = 0, nat = 10, ntyp = 3
/
ATOMIC_SPECIES
Rh 102.91 Rh.upf
B 10.81 B.upf
Na 22.99 Na.upf
ATOMIC_POSITIONS crystal
Rh 0.7577 0.2492 0.4841
B 0.5514 0.3972 0.2500
Rh 0.4930 0.2493 0.0160
B 0.8026 0.8947 0.7500
Rh 0.2423 0.7508 0.5159
B 0.1974 0.1053 0.2500
Rh 0.5069 0.7507 0.9840
Na 0.8754 0.7491 0.2500
Na 0.1246 0.2509 0.7500
B 0.4486 0.6028 0.7500
CELL_PARAMETERS angstrom
-5.1133 3.1192 0.8439
-3.5097 1.2091 -4.0539
-5.0971 -2.8346 1.3072
! Crystal system: monoclinic
! SG: C2/c, No. 15
! Size of the total moment in Bohr magnetons per cell: 0.00
! Mass density in g/cm3: 5.81
! Energy of formation in meV/atom: -270
! Distance to the lowest polymorph of the same formula in meV/atom: 0.0


(3)
! NaB2Rh | Alexandria | PBE | optimized geometry; values from VASP
&SYSTEM
  ibrav = 0, nat = 8, ntyp = 3
/
ATOMIC_SPECIES
B 10.81 B.upf
Rh 102.91 Rh.upf
Na 22.99 Na.upf
ATOMIC_POSITIONS crystal
B 0.8750 0.6250 0.2500
Rh 0.0000 0.0000 0.0000
Na 0.2500 0.7500 0.5000
B 0.3750 0.1250 0.7500
Rh 0.7500 0.2500 0.5000
B 0.8750 0.1250 0.7500
B 0.8750 0.1250 0.2500
Na 0.5000 0.5000 0.0000
CELL_PARAMETERS angstrom
-2.7928 3.4414 -0.7530
-1.3220 -1.9146 -3.8467
-6.7792 -2.3720 0.8834
! Crystal system: tetragonal
! SG: I4_1/amd, No. 141
! Size of the total moment in Bohr magnetons per cell: 0.00
! Mass density in g/cm3: 3.73
! Energy of formation in meV/atom: 331
! Distance to the lowest polymorph of the same formula in meV/atom: 0.0


(4)
! NaBRh3 | Alexandria | PBE | optimized geometry; values from VASP
&SYSTEM
  ibrav = 0, nat = 10, ntyp = 3
/
ATOMIC_SPECIES
Na 22.99 Na.upf
Rh 102.91 Rh.upf
B 10.81 B.upf
ATOMIC_POSITIONS crystal
Na 0.8784 0.5156 0.4921
Rh 0.0252 0.6975 0.0162
B 0.3717 0.2690 0.7520
Rh 0.4012 0.0095 0.4629
Rh 0.4012 0.4990 0.4629
B 0.0547 0.9275 0.7271
Rh 0.8900 0.0098 0.4630
Rh 0.5364 0.1866 0.0161
Rh 0.0251 0.1870 0.0162
Na 0.5480 0.6808 0.9870
CELL_PARAMETERS angstrom
5.0325 -0.0003 2.6471
3.2118 4.6917 0.0010
0.0747 -0.0517 5.9581
! Crystal system: trigonal
! SG: R-3m, No. 166
! Size of the total moment in Bohr magnetons per cell: 0.00
! Mass density in g/cm3: 8.17
! Energy of formation in meV/atom: -89


(5)
! NaBRh2 | Alexandria | PBE | optimized geometry; values from VASP
&SYSTEM
  ibrav = 0, nat = 4, ntyp = 3
/
ATOMIC_SPECIES
Rh 102.91 Rh.upf
B 10.81 B.upf
Na 22.99 Na.upf
ATOMIC_POSITIONS crystal
Rh 0.0000 0.0000 0.8288
Rh 0.0000 0.0000 0.1712
B 0.5000 0.5000 0.0000
Na 0.5000 0.5000 0.5000
CELL_PARAMETERS angstrom
-0.1847 -1.7258 -2.1028
2.5307 -0.8821 0.5017
-2.7426 -5.2707 4.5666
! Crystal system: tetragonal
! SG: P4/mmm, No. 123
! Size of the total moment in Bohr magnetons per cell: 0.00
! Mass density in g/cm3: 7.14
! Energy of formation in meV/atom: 98


(6)
! Na2B4Rh5 | Alexandria | PBE | optimized geometry; values from VASP
&SYSTEM
  ibrav = 0, nat = 11, ntyp = 3
/
ATOMIC_SPECIES
B 10.81 B.upf
Rh 102.91 Rh.upf
Na 22.99 Na.upf
ATOMIC_POSITIONS crystal
B 0.1708 0.3696 0.7290
Rh 0.5747 0.5747 0.0232
Rh 0.5926 0.0881 0.0099
Na 0.7975 0.7975 0.6498
Na 0.1503 0.1503 0.2392
B 0.3696 0.1708 0.7290
Rh 0.2285 0.7206 0.5368
Rh 0.7206 0.2285 0.5368
B 0.8299 0.4771 0.2682
B 0.4771 0.8299 0.2682
Rh 0.0881 0.5926 0.0099
CELL_PARAMETERS angstrom
-1.8333 -3.5323 3.7817
-2.8204 0.5356 -4.6795
4.1962 -3.0929 -1.9765
! Crystal system: monoclinic
! SG: Cm, No. 8
! Size of the total moment in Bohr magnetons per cell: 0.00
! Mass density in g/cm3: 7.06
! Energy of formation in meV/atom: -228


(7)
! NaB2Rh | Alexandria | PBE | optimized geometry; values from VASP
&SYSTEM
  ibrav = 0, nat = 4, ntyp = 3
/
ATOMIC_SPECIES
Rh 102.91 Rh.upf
B 10.81 B.upf
Na 22.99 Na.upf
ATOMIC_POSITIONS crystal
Rh 0.5000 0.5000 0.5000
B 0.2500 0.2500 0.2500
B 0.7500 0.7500 0.7500
Na 0.0000 0.0000 0.0000
CELL_PARAMETERS angstrom
0.0000 2.7687 2.7687
2.7687 0.0000 2.7687
2.7687 2.7687 0.0000
! Crystal system: cubic
! SG: Fm-3m, No. 225
! Size of the total moment in Bohr magnetons per cell: 0.00
! Mass density in g/cm3: 5.77
! Energy of formation in meV/atom: 844
! Distance to the lowest polymorph of the same formula in meV/atom: 512.8


(8)
! NaBRh3 | Alexandria | PBE | optimized geometry; values from VASP
&SYSTEM
  ibrav = 0, nat = 5, ntyp = 3
/
ATOMIC_SPECIES
B 10.81 B.upf
Na 22.99 Na.upf
Rh 102.91 Rh.upf
ATOMIC_POSITIONS crystal
B 0.5000 0.5000 0.5000
Na 0.0000 0.0000 0.0000
Rh 0.0000 0.0000 0.5000
Rh 0.0000 0.5000 0.0000
Rh 0.5000 0.0000 0.0000
CELL_PARAMETERS angstrom
-3.3874 0.8095 -2.7463
-2.8467 -1.4074 3.0964
-0.3063 4.1274 1.5944
! Crystal system: cubic
! SG: Pm-3m, No. 221
! Size of the total moment in Bohr magnetons per cell: 0.00
! Mass density in g/cm3: 6.52
! Energy of formation in meV/atom: 2486


(9)
! NaBRh2 | Alexandria | PBE | optimized geometry; values from VASP
&SYSTEM
  ibrav = 0, nat = 4, ntyp = 3
/
ATOMIC_SPECIES
B 10.81 B.upf
Rh 102.91 Rh.upf
Na 22.99 Na.upf
ATOMIC_POSITIONS crystal
B 0.0000 0.0000 0.0000
Rh 0.7234 0.7234 0.8299
Rh 0.2766 0.2766 0.1701
Na 0.5000 0.5000 0.5000
CELL_PARAMETERS angstrom
2.9098 0.0000 0.0000
1.4549 2.5200 0.0000
1.4549 0.8400 7.7104
! Crystal system: trigonal
! SG: R-3m, No. 166
! Size of the total moment in Bohr magnetons per cell: 0.00
! Mass density in g/cm3: 7.04
! Energy of formation in meV/atom: -113


(10)
! NaB4Rh4 | Alexandria | PBE | optimized geometry; values from VASP
&SYSTEM
  ibrav = 0, nat = 18, ntyp = 3
/
ATOMIC_SPECIES
B 10.81 B.upf
Rh 102.91 Rh.upf
Na 22.99 Na.upf
ATOMIC_POSITIONS crystal
B 0.3879 0.3077 0.1694
Rh 0.3881 0.3614 0.8772
Rh 0.6119 0.8772 0.6386
Rh 0.3881 0.6386 0.1228
B 0.8879 0.3306 0.8077
Na 0.5000 0.5000 0.5000
Rh 0.8881 0.6228 0.8614
Rh 0.6119 0.1228 0.3614
Rh 0.8881 0.3772 0.1386
B 0.6121 0.1694 0.6923
Rh 0.1119 0.8614 0.3772
B 0.8879 0.6694 0.1923
B 0.1121 0.8077 0.6694
B 0.6121 0.8306 0.3077
B 0.3879 0.6923 0.8306
B 0.1121 0.1923 0.3306
Na 0.0000 0.0000 0.0000
Rh 0.1119 0.1386 0.6228
CELL_PARAMETERS angstrom
4.1238 0.0000 0.0000
0.0000 7.3473 0.0000
0.0000 0.0000 7.3473
! Crystal system: tetragonal
! SG: P4_2/n, No. 86
! Size of the total moment in Bohr magnetons per cell: 0.00
! Mass density in g/cm3: 7.13
! Energy of formation in meV/atom: -324


(11)
! NaB3Rh3 | Alexandria | PBE | optimized geometry; values from VASP
&SYSTEM
  ibrav = 0, nat = 14, ntyp = 3
/
ATOMIC_SPECIES
B 10.81 B.upf
Rh 102.91 Rh.upf
Na 22.99 Na.upf
ATOMIC_POSITIONS crystal
B 0.5000 0.0000 0.7500
Rh 0.7500 0.0000 0.5000
Na 0.5000 0.5000 0.5000
B 0.2500 0.5000 0.0000
Na 0.0000 0.0000 0.0000
B 0.0000 0.2500 0.5000
B 0.0000 0.7500 0.5000
Rh 0.0000 0.5000 0.2500
Rh 0.5000 0.7500 0.0000
B 0.5000 0.0000 0.2500
B 0.7500 0.5000 0.0000
Rh 0.2500 0.0000 0.5000
Rh 0.5000 0.2500 0.0000
Rh 0.0000 0.5000 0.7500
CELL_PARAMETERS angstrom
-3.5214 3.7945 2.6148
-3.4507 0.0098 -4.6614
-3.0542 -4.3861 2.2518
! Crystal system: cubic
! SG: Pm-3n, No. 223
! Size of the total moment in Bohr magnetons per cell: 0.00
! Mass density in g/cm3: 6.20
! Energy of formation in meV/atom: -144


(12)
! Na2B2Rh | Alexandria | PBE | optimized geometry; values from VASP
&SYSTEM
  ibrav = 0, nat = 5, ntyp = 3
/
ATOMIC_SPECIES
B 10.81 B.upf
Rh 102.91 Rh.upf
Na 22.99 Na.upf
ATOMIC_POSITIONS crystal
B 0.5711 0.5711 0.8579
Rh 0.0000 0.0000 0.0000
Na 0.7500 0.2500 0.5000
Na 0.2500 0.7500 0.5000
B 0.4289 0.4289 0.1421
CELL_PARAMETERS angstrom
3.3791 0.0000 0.0000
0.0000 3.3791 0.0000
1.6896 1.6896 5.6544
! Crystal system: tetragonal
! SG: I4/mmm, No. 139
! Size of the total moment in Bohr magnetons per cell: 0.06
! Mass density in g/cm3: 4.39
! Energy of formation in meV/atom: 812